Record 1
First-principles (PBE) data for a relaxed structure of Hg2P2W, as listed in the Alexandria database.

Its total energy is -20.392 eV/cell. The calculation puts the energy relative to the elements at 796.9 meV per atom. The space group is I4/mmm.

a = 3.156 Å, b = 3.156 Å, c = 9.812 Å
α = 80.75°, β = 80.75°, γ = 90.00°
Atoms (fractional coordinates):
Hg1 0.400 0.400 0.200
Hg2 0.600 0.600 0.800
P1 0.250 0.750 0.500
W1 0.000 0.000 0.000
P2 0.750 0.250 0.500

Record 2
First-principles (PBE) data for a relaxed structure of LaSm6In6, as listed in the Alexandria database.

Its total energy is -54.413 eV/cell. The calculation puts the energy relative to the elements at -364.6 meV per atom. The space group is P6/mmm.

a = 6.339 Å, b = 6.339 Å, c = 11.053 Å
α = 90.00°, β = 90.00°, γ = 120.00°
Atoms (fractional coordinates):
In1 0.000 0.500 0.245
Sm1 0.000 0.000 0.338
Sm2 0.333 0.667 0.500
Sm3 0.333 0.667 0.000
Sm4 0.000 0.000 0.662
Sm5 0.667 0.333 0.500
In2 0.500 0.000 0.245
In3 0.000 0.500 0.755
Sm6 0.667 0.333 0.000
In4 0.500 0.000 0.755
In5 0.500 0.500 0.245
In6 0.500 0.500 0.755
La1 0.000 0.000 0.000